{
  "formula": "Ca2TaCd",
  "functional": "PBEsol",
  "state": "optimized geometry",
  "lattice": [[-2.355, -2.012, -0.202], [4.518, -3.035, 1.379], [-1.748, 1.512, 5.323]],
  "species": ["Ta", "Ca", "Ca", "Cd"],
  "fractional_positions": [[0.000, 0.000, 0.500], [0.751, 0.501, 0.741], [0.249, 0.499, 0.259], [0.500, 0.000, 0.000]],
  "space_group": "C2/m, No. 12"
}

{
  "formula": "Hg4W",
  "functional": "PBEsol",
  "state": "optimized geometry",
  "lattice": [[-2.541, -1.454, -0.025], [1.714, -5.954, 0.651], [-1.644, -0.176, 6.006]],
  "species": ["Hg", "Hg", "Hg", "Hg", "W"],
  "fractional_positions": [[0.219, 0.281, 0.280], [0.500, 0.720, 0.281], [0.500, 0.280, 0.719], [0.781, 0.719, 0.720], [0.000, 0.000, 0.000]],
  "space_group": "I4/mmm, No. 139"
}

Number 1: density of states at the Fermi level 3.2 states/eV/f.u., total DFT energy (no corrections) -3.948 eV/atom. Number 2: density of states at the Fermi level 3.3 states/eV/f.u., total DFT energy (no corrections) -2.696 eV/atom.